(1)
{
  "formula": "TaNi2Hg",
  "functional": "GGA-PBE",
  "state": "optimized geometry",
  "volume_a3_per_cell": 126.1,
  "e_tot_ev_per_atom": -5.793,
  "formation_enthalpy_0k_ev_per_atom": 0.137,
  "cell": [[8.448, 0.000, 0.000], [0.000, 2.946, 0.000], [-1.022, 0.000, 5.069]],
  "species": ["Ta", "Ta", "Ni", "Ni", "Ni", "Ni", "Hg", "Hg"],
  "fractional_positions": [[0.000, 0.000, 0.000], [0.500, 0.500, 0.000], [0.241, 0.500, 0.198], [0.259, 0.000, 0.802], [0.741, 0.000, 0.198], [0.759, 0.500, 0.802], [0.000, 0.500, 0.500], [0.500, 0.000, 0.500]]
}

(2)
{
  "formula": "TaNi6Hg",
  "functional": "GGA-PBE",
  "state": "optimized geometry",
  "volume_a3_per_cell": 410.0,
  "e_tot_ev_per_atom": -5.958,
  "formation_enthalpy_0k_ev_per_atom": -0.103,
  "cell": [[3.715, -5.246, 0.000], [3.715, 5.246, 0.000], [0.000, 0.000, 10.518]],
  "species": ["Ta", "Ta", "Ta", "Ta", "Ni", "Ni", "Ni", "Ni", "Ni", "Ni", "Ni", "Ni", "Ni", "Ni", "Ni", "Ni", "Ni", "Ni", "Ni", "Ni", "Ni", "Ni", "Ni", "Ni", "Ni", "Ni", "Ni", "Ni", "Hg", "Hg", "Hg", "Hg"],
  "fractional_positions": [[0.000, 0.000, 0.250], [0.000, 0.000, 0.750], [0.247, 0.753, 0.000], [0.753, 0.247, 0.000], [0.000, 0.000, 0.000], [0.000, 0.000, 0.500], [0.118, 0.365, 0.369], [0.118, 0.365, 0.631], [0.119, 0.373, 0.121], [0.119, 0.373, 0.879], [0.245, 0.755, 0.242], [0.245, 0.755, 0.758], [0.365, 0.118, 0.369], [0.365, 0.118, 0.631], [0.373, 0.119, 0.121], [0.373, 0.119, 0.879], [0.500, 0.500, 0.000], [0.500, 0.500, 0.500], [0.627, 0.881, 0.121], [0.627, 0.881, 0.879], [0.635, 0.882, 0.369], [0.635, 0.882, 0.631], [0.755, 0.245, 0.242], [0.755, 0.245, 0.758], [0.881, 0.627, 0.121], [0.881, 0.627, 0.879], [0.882, 0.635, 0.369], [0.882, 0.635, 0.631], [0.254, 0.746, 0.500], [0.500, 0.500, 0.250], [0.500, 0.500, 0.750], [0.746, 0.254, 0.500]]
}

(3)
{
  "formula": "TaNiHg2",
  "functional": "GGA-PBE",
  "state": "optimized geometry",
  "volume_a3_per_cell": 144.8,
  "e_tot_ev_per_atom": -4.063,
  "formation_enthalpy_0k_ev_per_atom": 0.496,
  "cell": [[5.990, 0.000, 0.000], [0.000, 8.434, 0.000], [-0.014, 0.000, 2.866]],
  "species": ["Ta", "Ta", "Ni", "Ni", "Hg", "Hg", "Hg", "Hg"],
  "fractional_positions": [[0.000, 0.000, 0.000], [0.500, 0.500, 0.000], [0.000, 0.500, 0.000], [0.500, 0.000, 0.000], [0.250, 0.250, 0.500], [0.250, 0.750, 0.500], [0.750, 0.250, 0.500], [0.750, 0.750, 0.500]]
}

(4)
{
  "formula": "Ta2NiHg",
  "functional": "GGA-PBE",
  "state": "optimized geometry",
  "volume_a3_per_cell": 215.3,
  "e_tot_ev_per_atom": -7.221,
  "formation_enthalpy_0k_ev_per_atom": 0.226,
  "cell": [[3.106, 0.000, 0.000], [-1.553, 2.690, 0.000], [0.000, 0.000, 25.765]],
  "species": ["Ta", "Ta", "Ta", "Ta", "Ta", "Ta", "Ni", "Ni", "Ni", "Hg", "Hg", "Hg"],
  "fractional_positions": [[0.000, 0.000, 0.000], [0.000, 0.000, 0.247], [0.333, 0.667, 0.667], [0.333, 0.667, 0.913], [0.667, 0.333, 0.333], [0.667, 0.333, 0.580], [0.000, 0.000, 0.511], [0.333, 0.667, 0.178], [0.667, 0.333, 0.845], [0.000, 0.000, 0.762], [0.333, 0.667, 0.428], [0.667, 0.333, 0.095]]
}

(5)
{
  "formula": "TaNi2Hg",
  "functional": "GGA-PBE",
  "state": "optimized geometry",
  "volume_a3_per_cell": 119.8,
  "e_tot_ev_per_atom": -5.758,
  "formation_enthalpy_0k_ev_per_atom": 0.172,
  "cell": [[3.849, 0.000, 0.000], [0.000, 3.849, 0.000], [0.000, 0.000, 8.085]],
  "species": ["Ta", "Ta", "Ni", "Ni", "Ni", "Ni", "Hg", "Hg"],
  "fractional_positions": [[0.000, 0.000, 0.000], [0.500, 0.500, 0.500], [0.000, 0.000, 0.500], [0.000, 0.500, 0.250], [0.500, 0.000, 0.750], [0.500, 0.500, 0.000], [0.000, 0.500, 0.750], [0.500, 0.000, 0.250]]
}

(6)
{
  "formula": "Ta2NiHg",
  "functional": "GGA-PBE",
  "state": "optimized geometry",
  "volume_a3_per_cell": 68.5,
  "e_tot_ev_per_atom": -7.303,
  "formation_enthalpy_0k_ev_per_atom": 0.144,
  "cell": [[3.323, 0.000, 0.000], [0.000, 3.323, 0.000], [0.000, 0.000, 6.198]],
  "species": ["Ta", "Ta", "Ni", "Hg"],
  "fractional_positions": [[0.000, 0.000, 0.000], [0.500, 0.500, 0.253], [0.500, 0.500, 0.787], [0.000, 0.000, 0.538]]
}

(7)
{
  "formula": "Ta2NiHg",
  "functional": "GGA-PBE",
  "state": "optimized geometry",
  "volume_a3_per_cell": 277.1,
  "e_tot_ev_per_atom": -6.946,
  "formation_enthalpy_0k_ev_per_atom": 0.501,
  "cell": [[6.519, 0.000, 0.000], [0.000, 6.519, 0.000], [0.000, 0.000, 6.519]],
  "species": ["Ta", "Ta", "Ta", "Ta", "Ta", "Ta", "Ta", "Ta", "Ni", "Ni", "Ni", "Ni", "Hg", "Hg", "Hg", "Hg"],
  "fractional_positions": [[0.000, 0.000, 0.000], [0.000, 0.500, 0.500], [0.250, 0.250, 0.250], [0.250, 0.750, 0.750], [0.500, 0.000, 0.500], [0.500, 0.500, 0.000], [0.750, 0.250, 0.750], [0.750, 0.750, 0.250], [0.250, 0.250, 0.750], [0.250, 0.750, 0.250], [0.750, 0.250, 0.250], [0.750, 0.750, 0.750], [0.000, 0.000, 0.500], [0.000, 0.500, 0.000], [0.500, 0.000, 0.000], [0.500, 0.500, 0.500]]
}

(8)
{
  "formula": "TaNiHg2",
  "functional": "GGA-PBE",
  "state": "optimized geometry",
  "volume_a3_per_cell": 71.5,
  "e_tot_ev_per_atom": -4.120,
  "formation_enthalpy_0k_ev_per_atom": 0.439,
  "cell": [[2.878, 0.000, 0.000], [0.000, 4.463, 0.000], [-1.367, 0.000, 5.564]],
  "species": ["Ta", "Ni", "Hg", "Hg"],
  "fractional_positions": [[0.000, 0.000, 0.000], [0.500, 0.000, 0.500], [0.350, 0.500, 0.738], [0.650, 0.500, 0.262]]
}

(9)
{
  "formula": "Ta2NiHg",
  "functional": "GGA-PBE",
  "state": "optimized geometry",
  "volume_a3_per_cell": 289.3,
  "e_tot_ev_per_atom": -6.925,
  "formation_enthalpy_0k_ev_per_atom": 0.522,
  "cell": [[7.342, 0.000, 0.000], [0.000, 7.342, 0.000], [0.000, 0.000, 5.366]],
  "species": ["Ta", "Ta", "Ta", "Ta", "Ta", "Ta", "Ta", "Ta", "Ni", "Ni", "Ni", "Ni", "Hg", "Hg", "Hg", "Hg"],
  "fractional_positions": [[0.205, 0.250, 0.125], [0.250, 0.705, 0.375], [0.250, 0.795, 0.875], [0.295, 0.250, 0.625], [0.705, 0.750, 0.625], [0.750, 0.205, 0.875], [0.750, 0.295, 0.375], [0.795, 0.750, 0.125], [0.000, 0.000, 0.000], [0.000, 0.500, 0.250], [0.500, 0.000, 0.750], [0.500, 0.500, 0.500], [0.000, 0.000, 0.500], [0.000, 0.500, 0.750], [0.500, 0.000, 0.250], [0.500, 0.500, 0.000]]
}

(10)
{
  "formula": "Ta2NiHg",
  "functional": "GGA-PBE",
  "state": "optimized geometry",
  "volume_a3_per_cell": 207.8,
  "e_tot_ev_per_atom": -7.170,
  "formation_enthalpy_0k_ev_per_atom": 0.277,
  "cell": [[2.908, 0.000, 0.000], [-1.454, 2.519, 0.000], [0.000, 0.000, 28.367]],
  "species": ["Ta", "Ta", "Ta", "Ta", "Ta", "Ta", "Ni", "Ni", "Ni", "Hg", "Hg", "Hg"],
  "fractional_positions": [[0.000, 0.000, 0.241], [0.000, 0.000, 0.759], [0.333, 0.667, 0.426], [0.333, 0.667, 0.908], [0.667, 0.333, 0.092], [0.667, 0.333, 0.574], [0.000, 0.000, 0.500], [0.333, 0.667, 0.167], [0.667, 0.333, 0.833], [0.000, 0.000, 0.000], [0.333, 0.667, 0.667], [0.667, 0.333, 0.333]]
}

(11)
{
  "formula": "TaNiHg2",
  "functional": "GGA-PBE",
  "state": "optimized geometry",
  "volume_a3_per_cell": 147.9,
  "e_tot_ev_per_atom": -4.199,
  "formation_enthalpy_0k_ev_per_atom": 0.360,
  "cell": [[8.985, 0.000, 0.000], [0.000, 2.996, 0.000], [-0.987, 0.000, 5.494]],
  "species": ["Ta", "Ta", "Ni", "Ni", "Hg", "Hg", "Hg", "Hg"],
  "fractional_positions": [[0.000, 0.000, 0.000], [0.500, 0.500, 0.000], [0.266, 0.000, 0.840], [0.766, 0.500, 0.840], [0.021, 0.500, 0.556], [0.257, 0.500, 0.272], [0.521, 0.000, 0.556], [0.757, 0.000, 0.272]]
}

(12)
{
  "formula": "TaNiHg2",
  "functional": "GGA-PBE",
  "state": "optimized geometry",
  "volume_a3_per_cell": 147.9,
  "e_tot_ev_per_atom": -4.181,
  "formation_enthalpy_0k_ev_per_atom": 0.378,
  "cell": [[2.868, 0.000, 0.000], [0.000, 4.973, 0.000], [0.000, 0.000, 10.366]],
  "species": ["Ta", "Ta", "Ni", "Ni", "Hg", "Hg", "Hg", "Hg"],
  "fractional_positions": [[0.000, 0.000, 0.000], [0.500, 0.500, 0.500], [0.000, 0.500, 0.298], [0.500, 0.000, 0.798], [0.000, 0.000, 0.556], [0.000, 0.500, 0.769], [0.500, 0.000, 0.269], [0.500, 0.500, 0.056]]
}

(13)
{
  "formula": "TaNi2Hg",
  "functional": "GGA-PBE",
  "state": "optimized geometry",
  "volume_a3_per_cell": 119.8,
  "e_tot_ev_per_atom": -5.811,
  "formation_enthalpy_0k_ev_per_atom": 0.119,
  "cell": [[9.391, 0.000, 0.000], [0.000, 2.843, 0.000], [-1.103, 0.000, 4.487]],
  "species": ["Ta", "Ta", "Ni", "Ni", "Ni", "Ni", "Hg", "Hg"],
  "fractional_positions": [[0.000, 0.000, 0.000], [0.500, 0.500, 0.000], [0.252, 0.500, 0.177], [0.476, 0.000, 0.465], [0.752, 0.000, 0.177], [0.976, 0.500, 0.465], [0.229, 0.000, 0.661], [0.729, 0.500, 0.661]]
}

(14)
{
  "formula": "TaNi2Hg",
  "functional": "GGA-PBE",
  "state": "optimized geometry",
  "volume_a3_per_cell": 266.2,
  "e_tot_ev_per_atom": -5.442,
  "formation_enthalpy_0k_ev_per_atom": 0.488,
  "cell": [[6.920, 0.000, 0.000], [0.000, 6.920, 0.000], [0.000, 0.000, 5.559]],
  "species": ["Ta", "Ta", "Ta", "Ta", "Ni", "Ni", "Ni", "Ni", "Ni", "Ni", "Ni", "Ni", "Hg", "Hg", "Hg", "Hg"],
  "fractional_positions": [[0.000, 0.000, 0.000], [0.000, 0.500, 0.250], [0.500, 0.000, 0.750], [0.500, 0.500, 0.500], [0.226, 0.750, 0.125], [0.250, 0.226, 0.875], [0.250, 0.274, 0.375], [0.274, 0.750, 0.625], [0.726, 0.250, 0.625], [0.750, 0.726, 0.375], [0.750, 0.774, 0.875], [0.774, 0.250, 0.125], [0.000, 0.000, 0.500], [0.000, 0.500, 0.750], [0.500, 0.000, 0.250], [0.500, 0.500, 0.000]]
}

(15)
{
  "formula": "Ta2NiHg",
  "functional": "GGA-PBE",
  "state": "optimized geometry",
  "volume_a3_per_cell": 67.2,
  "e_tot_ev_per_atom": -7.246,
  "formation_enthalpy_0k_ev_per_atom": 0.202,
  "cell": [[4.015, 0.000, 0.000], [0.000, 4.015, 0.000], [0.000, 0.000, 4.168]],
  "species": ["Ta", "Ta", "Ni", "Hg"],
  "fractional_positions": [[0.000, 0.500, 0.000], [0.500, 0.000, 0.000], [0.000, 0.000, 0.500], [0.500, 0.500, 0.500]]
}

(16)
{
  "formula": "Ta2NiHg",
  "functional": "GGA-PBE",
  "state": "optimized geometry",
  "volume_a3_per_cell": 140.2,
  "e_tot_ev_per_atom": -7.257,
  "formation_enthalpy_0k_ev_per_atom": 0.190,
  "cell": [[3.931, 0.000, 0.000], [0.000, 3.017, 0.000], [0.000, 0.000, 11.821]],
  "species": ["Ta", "Ta", "Ta", "Ta", "Ni", "Ni", "Hg", "Hg"],
  "fractional_positions": [[0.000, 0.000, 0.000], [0.000, 0.500, 0.500], [0.500, 0.000, 0.369], [0.500, 0.500, 0.869], [0.000, 0.000, 0.782], [0.000, 0.500, 0.282], [0.500, 0.000, 0.636], [0.500, 0.500, 0.136]]
}

(17)
{
  "formula": "Ta2NiHg",
  "functional": "GGA-PBE",
  "state": "optimized geometry",
  "volume_a3_per_cell": 136.5,
  "e_tot_ev_per_atom": -7.098,
  "formation_enthalpy_0k_ev_per_atom": 0.349,
  "cell": [[4.006, 0.000, 0.000], [0.000, 4.006, 0.000], [0.000, 0.000, 8.508]],
  "species": ["Ta", "Ta", "Ta", "Ta", "Ni", "Ni", "Hg", "Hg"],
  "fractional_positions": [[0.000, 0.000, 0.000], [0.000, 0.500, 0.250], [0.500, 0.000, 0.750], [0.500, 0.500, 0.500], [0.000, 0.000, 0.500], [0.500, 0.500, 0.000], [0.000, 0.500, 0.750], [0.500, 0.000, 0.250]]
}

(18)
{
  "formula": "TaNi2Hg",
  "functional": "GGA-PBE",
  "state": "optimized geometry",
  "volume_a3_per_cell": 60.0,
  "e_tot_ev_per_atom": -5.774,
  "formation_enthalpy_0k_ev_per_atom": 0.156,
  "cell": [[4.576, 0.000, 0.000], [0.000, 4.576, 0.000], [0.000, 0.000, 2.867]],
  "species": ["Ta", "Ni", "Ni", "Hg"],
  "fractional_positions": [[0.000, 0.000, 0.000], [0.000, 0.500, 0.500], [0.500, 0.000, 0.500], [0.500, 0.500, 0.000]]
}

(19)
{
  "formula": "TaNi2Hg",
  "functional": "GGA-PBE",
  "state": "optimized geometry",
  "volume_a3_per_cell": 193.9,
  "e_tot_ev_per_atom": -5.804,
  "formation_enthalpy_0k_ev_per_atom": 0.126,
  "cell": [[3.032, 0.000, 0.000], [-1.516, 2.626, 0.000], [0.000, 0.000, 24.359]],
  "species": ["Ta", "Ta", "Ta", "Ni", "Ni", "Ni", "Ni", "Ni", "Ni", "Hg", "Hg", "Hg"],
  "fractional_positions": [[0.000, 0.000, 0.000], [0.333, 0.667, 0.667], [0.667, 0.333, 0.333], [0.000, 0.000, 0.258], [0.000, 0.000, 0.742], [0.333, 0.667, 0.409], [0.333, 0.667, 0.924], [0.667, 0.333, 0.076], [0.667, 0.333, 0.591], [0.000, 0.000, 0.500], [0.333, 0.667, 0.167], [0.667, 0.333, 0.833]]
}

(20)
{
  "formula": "TaNiHg2",
  "functional": "GGA-PBE",
  "state": "optimized geometry",
  "volume_a3_per_cell": 70.0,
  "e_tot_ev_per_atom": -4.209,
  "formation_enthalpy_0k_ev_per_atom": 0.350,
  "cell": [[2.997, 0.000, 0.000], [0.000, 2.997, 0.000], [0.000, 0.000, 7.790]],
  "species": ["Ta", "Ni", "Hg", "Hg"],
  "fractional_positions": [[0.000, 0.000, 0.000], [0.000, 0.000, 0.500], [0.500, 0.500, 0.275], [0.500, 0.500, 0.725]]
}